Record 1
4
Lattice="4.431 0.000 0.000 0.000 4.604 -0.001 0.000 2.302 6.322" Properties=species:S:1:pos:R:3 comment="Ca2ScSb GGA-PBE optimized geometry" raw_formation_energy_ev_per_atom=-0.4137 crystal_system=orthorhombic pbc="T T T"
Sb 0.000 4.319 3.007
Sc 2.216 4.315 4.776
Ca 2.216 2.016 2.074
Ca 0.000 6.616 5.947

---

Record 2
20
Lattice="8.788 0.000 0.000 0.000 10.175 2.116 0.000 -0.208 10.391" Properties=species:S:1:pos:R:3 comment="Tl3AuI6 GGA-PBE optimized geometry" raw_formation_energy_ev_per_atom=-0.3914 crystal_system=orthorhombic pbc="T T T"
I 4.615 0.143 3.308
I 1.971 8.144 3.734
I 4.615 6.774 11.629
I 7.312 8.732 3.265
I 2.023 6.147 8.304
I 6.416 3.820 4.202
I 6.365 1.823 8.772
I 0.221 9.824 9.198
I 0.221 3.193 0.877
I 6.416 6.723 7.845
I 2.918 1.235 9.241
I 2.023 3.244 4.661
Tl 4.423 4.071 6.980
Tl 3.903 3.375 1.921
Tl 8.297 6.592 10.586
Tl 8.297 1.119 3.718
Tl 3.903 8.848 8.788
Tl 0.029 5.895 5.526
Au 4.630 8.532 3.425
Au 0.236 1.435 9.081

---

Record 3
4
Lattice="-3.978 1.558 -1.155 -3.397 -2.786 -0.536 -3.322 -0.028 2.924" Properties=species:S:1:pos:R:3 comment="PuUMnCr GGA-PBE optimized geometry" energy_ev_per_atom=-10.935 crystal_system=cubic pbc="T T T"
Mn -5.348 -0.628 0.617
U -8.023 -0.942 0.925
Cr -2.674 -0.314 0.308
Pu 0.000 0.000 0.000